Compound: Mg2NiRuO6
Source: Alexandria via LeMat-Bulk
Functional: GGA+U
Structure: relaxed

Its final energy is -57.69 eV/f.u. Its space group is No. 99.

Geometry as extended XYZ:
```
10
Lattice="4.779 0.000 0.000 0.000 5.201 0.000 0.000 0.000 5.201" Properties=species:S:1:pos:R:3 pbc="T T T"
Mg 4.480 2.601 0.000
Mg 4.480 0.000 2.601
Ni 2.805 2.601 2.601
Ru 2.790 0.000 0.000
O 3.568 1.241 1.241
O 3.568 1.241 3.960
O 0.904 2.601 2.601
O 1.079 0.000 0.000
O 3.568 3.960 3.960
O 3.568 3.960 1.241
```